No. 1
Compound: Tb6NdSm2Ho
Source: the Alexandria database
Functional: GGA-PBE
Structure: optimized geometry

## Properties
density of states at the Fermi level: 15.05 states/eV/f.u.
formation energy: 0.122 eV/atom

POSCAR file:
```
Tb6NdSm2Ho
1.0
-7.6671 -4.2489 -4.3140
6.0039 -4.3958 -4.7058
-1.9570 -2.9810 8.0497
Sm Tb Nd Ho
4 12 2 2
Direct
0.4583 0.8105 0.7077
0.0417 0.2923 0.1895
0.5417 0.1895 0.2923
0.9583 0.7077 0.8105
0.5566 0.7465 0.1225
0.3154 0.9732 0.4222
0.6216 0.4999 0.7077
0.0566 0.1225 0.7465
0.3784 0.5001 0.2923
0.9434 0.8775 0.2535
0.1846 0.5778 0.0268
0.8784 0.2923 0.5001
0.4434 0.2535 0.8775
0.8154 0.4222 0.9732
0.1216 0.7077 0.4999
0.6846 0.0268 0.5778
0.2500 0.4051 0.5949
0.7500 0.5949 0.4051
0.2500 0.9808 0.0192
0.7500 0.0192 0.9808
```


No. 2
Compound: TaP2PtCl
Source: the Alexandria database
Functional: GGA-PBE
Structure: optimized geometry

## Properties
density of states at the Fermi level: 5.14 states/eV/f.u.
uncorrected formation energy: 491 kJ/mol of formula units

POSCAR file:
```
TaP2PtCl
1.0
4.6402 0.0000 0.0000
0.0000 4.6402 0.0000
0.0000 0.0000 4.6629
Cl Pt P Ta
1 1 2 1
Direct
0.0000 0.0000 0.5000
0.0000 0.0000 0.0000
0.0000 0.5000 0.0000
0.5000 0.0000 0.0000
0.5000 0.5000 0.5000
```


No. 3
Compound: Pr2NdDyBi5
Source: the Alexandria database
Functional: GGA-PBE
Structure: optimized geometry

## Properties
density of states at the Fermi level: 6.04 states/eV/f.u.
formation energy: -0.045 eV/atom

POSCAR file:
```
Pr2NdDyBi5
1.0
-4.6626 1.2806 -2.7834
-2.3862 -4.6969 1.8363
-4.1294 5.8556 9.6114
Pr Bi Nd Dy
2 5 1 1
Direct
0.5000 0.5000 0.7236
0.5000 0.5000 0.2764
0.0000 0.5000 0.5000
0.5000 0.0000 0.5000
0.0000 0.0000 0.2429
0.5000 0.5000 0.0000
0.0000 0.0000 0.7571
0.0000 0.0000 0.5000
0.0000 0.0000 0.0000
```


No. 4
Compound: ScNiHg3
Source: the Alexandria database
Functional: GGA-PBE
Structure: optimized geometry

## Properties
density of states at the Fermi level: 4.53 states/eV/f.u.
formation energy: 0.202 eV/atom

POSCAR file:
```
ScNiHg3
1.0
-2.6890 -4.0444 0.6877
3.9555 -2.3378 1.7176
-1.0884 1.4961 4.5429
Sc Hg Ni
1 3 1
Direct
0.5000 0.5000 0.5000
0.0000 0.5000 0.0000
0.5000 0.0000 0.0000
0.0000 0.0000 0.5000
0.0000 0.0000 0.0000
```


No. 5
Compound: Mn2CuRh
Source: the Alexandria database
Functional: GGA-PBE
Structure: optimized geometry

## Properties
density of states at the Fermi level: 2.81 states/eV/f.u.
formation energy: 0.444 eV/atom

POSCAR file:
```
Mn2CuRh
1.0
6.7801 0.0000 0.0000
0.0000 6.7801 0.0000
3.3901 3.3901 2.6237
Mn Rh Cu
4 2 2
Direct
0.1311 0.6250 0.2500
0.6189 0.1250 0.2500
0.8750 0.8689 0.7500
0.3750 0.3811 0.7500
0.0000 0.0000 0.0000
0.7500 0.2500 0.5000
0.5000 0.5000 0.0000
0.2500 0.7500 0.5000
```


No. 6
Compound: AlSnIrRh2
Source: the Alexandria database
Functional: GGA-PBE
Structure: optimized geometry

## Properties
density of states at the Fermi level: 6.72 states/eV/f.u.
formation energy: 1.001 eV/atom

POSCAR file:
```
AlSnIrRh2
1.0
4.8076 0.0000 0.0000
0.0000 4.9913 0.0000
0.0000 0.0000 4.8076
Rh Al Ir Sn
2 1 1 1
Direct
0.0000 0.0000 0.5000
0.5000 0.0000 0.0000
0.5000 0.5000 0.5000
0.0000 0.0000 0.0000
0.0000 0.5000 0.0000
```


No. 7
Compound: TaIr2W
Source: the Alexandria database
Functional: GGA-PBE
Structure: optimized geometry

## Properties
density of states at the Fermi level: 2.11 states/eV/f.u.
formation energy: -0.458 eV/atom

POSCAR file:
```
TaIr2W
1.0
3.9182 0.0000 0.0000
0.0000 3.9744 0.0000
0.0000 0.0000 8.0481
Ta Ir W
2 4 2
Direct
0.5000 0.2500 0.8667
0.5000 0.7500 0.1333
0.0000 0.2500 0.1279
0.0000 0.7500 0.3787
0.0000 0.7500 0.8721
0.0000 0.2500 0.6213
0.5000 0.7500 0.6155
0.5000 0.2500 0.3845
```


No. 8
Compound: Pr3Dy7Tm2
Source: the Alexandria database
Functional: GGA-PBE
Structure: optimized geometry

## Properties
density of states at the Fermi level: 15.25 states/eV/f.u.
formation energy: 0.088 eV/atom

POSCAR file:
```
Pr3Dy7Tm2
1.0
3.5734 0.0000 0.0000
0.0000 5.8396 0.2695
0.0000 -1.8571 18.7471
Dy Pr Tm
7 3 2
Direct
0.5000 0.7431 0.4626
0.0000 0.0000 0.0000
0.5000 0.8058 0.8232
0.0000 0.3082 0.8555
0.0000 0.6918 0.1445
0.5000 0.1942 0.1768
0.5000 0.2569 0.5374
0.0000 0.7771 0.6341
0.5000 0.5000 0.0000
0.0000 0.2229 0.3659
0.5000 0.7122 0.2925
0.5000 0.2878 0.7075
```


No. 9
Compound: Y2In5Br12
Source: the Alexandria database
Functional: GGA-PBE
Structure: optimized geometry

## Properties
density of states at the Fermi level: 6.20 states/eV/f.u.
uncorrected formation energy: -2055 kJ/mol of formula units

POSCAR file:
```
Y2In5Br12
1.0
6.9701 -0.2515 3.0309
1.1581 8.7967 4.3147
-1.5099 0.3000 9.7453
Br In Y
12 5 2
Direct
0.2257 0.1411 0.5260
0.7485 0.7107 0.0944
0.8008 0.0826 0.0826
0.7743 0.4740 0.8589
0.7976 0.4770 0.4770
0.1992 0.9174 0.9174
0.2257 0.5260 0.1411
0.2515 0.2893 0.9056
0.2515 0.9056 0.2893
0.2024 0.5230 0.5230
0.7485 0.0944 0.7107
0.7743 0.8589 0.4740
0.4853 0.6495 0.6495
0.5147 0.3505 0.3505
0.9957 0.2530 0.2530
0.0043 0.7470 0.7470
0.5000 0.0000 0.0000
0.0000 0.7503 0.2497
0.0000 0.2497 0.7503
```


No. 10
Compound: Sc4GeBiC
Source: the Alexandria database
Functional: GGA-PBE
Structure: optimized geometry

## Properties
density of states at the Fermi level: 4.46 states/eV/f.u.
formation energy: -0.717 eV/atom

POSCAR file:
```
Sc4GeBiC
1.0
6.2755 0.0000 0.0000
0.0000 6.2856 0.0000
-3.1378 0.0000 7.3376
Sc Ge Bi C
8 2 2 2
Direct
0.6005 0.2500 0.2010
0.5000 0.0000 0.5000
0.5000 0.5000 0.5000
0.3995 0.7500 0.7990
0.0884 0.7500 0.1768
0.0000 0.0000 0.5000
0.0000 0.5000 0.5000
0.9116 0.2500 0.8232
0.8880 0.7500 0.7760
0.1120 0.2500 0.2240
0.3994 0.2500 0.7988
0.6006 0.7500 0.2012
0.2456 0.7500 0.4911
0.7544 0.2500 0.5089
```


No. 11
Compound: CeThTl3
Source: the Alexandria database
Functional: GGA-PBE
Structure: optimized geometry

## Properties
density of states at the Fermi level: 7.02 states/eV/f.u.
formation energy: 0.411 eV/atom

POSCAR file:
```
CeThTl3
1.0
0.0068 -2.1585 -5.1816
-4.1838 -3.0735 2.1348
-2.9201 4.6686 -1.0887
Th Ce Tl
1 1 3
Direct
0.7579 0.7579 0.7579
0.0965 0.0965 0.0965
0.2958 0.6791 0.2958
0.2958 0.2958 0.6791
0.6791 0.2958 0.2958
```


No. 12
Compound: LiZrOs
Source: the Alexandria database
Functional: GGA-PBE
Structure: optimized geometry

## Properties
density of states at the Fermi level: 1.92 states/eV/f.u.
formation energy: 0.228 eV/atom

POSCAR file:
```
LiZrOs
1.0
7.2278 0.0111 -0.0081
6.4488 2.7918 0.0073
0.7790 -0.8251 2.6555
Li Os Zr
1 1 1
Direct
0.9838 0.9838 0.0162
0.3329 0.3329 0.6671
0.6834 0.6834 0.3166
```


No. 13
Compound: NaSbAs3
Source: the Alexandria database
Functional: GGA-PBE
Structure: optimized geometry

## Properties
density of states at the Fermi level: 7.08 states/eV/f.u.
uncorrected formation energy: 283 kJ/mol of formula units

POSCAR file:
```
NaSbAs3
1.0
5.3704 0.0000 0.0000
0.0000 5.3704 0.0000
0.0000 0.0000 5.3704
Na Sb As
1 1 3
Direct
0.5000 0.5000 0.5000
0.0000 0.0000 0.0000
0.0000 0.5000 0.0000
0.5000 0.0000 0.0000
0.0000 0.0000 0.5000
```


No. 14
Compound: InAsPt2
Source: the Alexandria database
Functional: GGA-PBE
Structure: optimized geometry

## Properties
density of states at the Fermi level: 1.76 states/eV/f.u.
formation energy: -0.425 eV/atom

POSCAR file:
```
InAsPt2
1.0
-1.1572 1.5737 -5.1480
-0.3703 -6.5538 -1.9203
-8.0031 -0.0689 1.7782
Pt In As
8 4 4
Direct
0.5001 0.2500 0.8435
0.4999 0.7500 0.1565
0.0000 0.7498 0.6121
0.9999 0.7500 0.1565
0.5000 0.7502 0.6121
0.0001 0.2500 0.8435
0.5000 0.2498 0.3879
0.0000 0.2502 0.3879
0.2500 0.3983 0.1128
0.7500 0.6017 0.8872
0.2500 0.8983 0.8872
0.7500 0.1017 0.1128
0.2496 0.9261 0.3782
0.7496 0.5739 0.3782
0.2504 0.4261 0.6218
0.7504 0.0739 0.6218
```


No. 15
Compound: Pm5Tl2Ir2
Source: the Alexandria database
Functional: GGA-PBE
Structure: optimized geometry

## Properties
density of states at the Fermi level: 8.64 states/eV/f.u.
formation energy: -0.515 eV/atom

POSCAR file:
```
Pm5Tl2Ir2
1.0
-1.1911 -7.7010 -1.8714
4.6681 0.7413 -6.0218
4.1076 -2.5163 7.7403
Pm Tl Ir
10 4 4
Direct
0.1706 0.4485 0.2318
0.6706 0.0515 0.7682
0.3294 0.7167 0.7682
0.8294 0.5515 0.7682
0.5000 0.5000 0.0000
0.3294 0.9485 0.2318
0.1706 0.2167 0.7682
0.8294 0.7833 0.2318
0.0000 0.0000 0.0000
0.6706 0.2833 0.2318
0.0000 0.2186 0.4372
0.0000 0.7814 0.5628
0.5000 0.2814 0.5628
0.5000 0.7186 0.4372
0.8687 0.3693 0.0000
0.1313 0.6307 0.0000
0.6313 0.8693 0.0000
0.3687 0.1307 0.0000
```


No. 16
Compound: FeSn2Ir
Source: the Alexandria database
Functional: GGA-PBE
Structure: optimized geometry

## Properties
density of states at the Fermi level: 3.89 states/eV/f.u.
formation energy: 0.718 eV/atom

POSCAR file:
```
FeSn2Ir
1.0
-4.3981 3.0769 2.7271
-3.5301 -0.7787 -4.8145
-6.0259 -3.8555 1.2775
Sn Fe Ir
4 2 2
Direct
0.1207 0.6250 0.2500
0.6293 0.1250 0.2500
0.8750 0.8793 0.7500
0.3750 0.3707 0.7500
0.2500 0.7500 0.5000
0.5000 0.5000 0.0000
0.0000 0.0000 0.0000
0.7500 0.2500 0.5000
```


No. 17
Compound: La2YMo
Source: the Alexandria database
Functional: GGA-PBE
Structure: optimized geometry

## Properties
density of states at the Fermi level: 5.12 states/eV/f.u.
formation energy: 0.296 eV/atom

POSCAR file:
```
La2YMo
1.0
3.5795 0.0482 0.0000
-0.0586 3.5793 0.0000
0.0000 0.0000 8.9432
La Y Mo
2 1 1
Direct
0.0000 0.0000 0.0074
0.5000 0.5000 0.3075
0.5000 0.5000 0.6914
0.0000 0.0000 0.4937
```


No. 18
Compound: KPu2P2N6
Source: the Alexandria database
Functional: GGA-PBE
Structure: optimized geometry

## Properties
density of states at the Fermi level: 11.37 states/eV/f.u.
uncorrected formation energy: -642 kJ/mol of formula units

POSCAR file:
```
KPu2P2N6
1.0
-2.1062 -5.4517 1.9939
-0.6673 -4.7465 -4.1188
4.7957 -0.2727 4.3184
N K P Pu
6 1 2 2
Direct
0.9828 0.6177 0.8548
0.0172 0.3823 0.1452
0.9264 0.1474 0.3875
0.0736 0.8526 0.6125
0.6004 0.3825 0.1453
0.3996 0.6175 0.8547
0.5000 0.0000 0.5000
0.8905 0.2191 0.1743
0.1095 0.7809 0.8257
0.8156 0.3688 0.8001
0.1844 0.6312 0.1999
```


No. 19
Compound: BaAg4O7
Source: the Alexandria database
Functional: GGA-PBE
Structure: optimized geometry

## Properties
density of states at the Fermi level: 7.45 states/eV/f.u.
uncorrected formation energy: 15 kJ/mol of formula units

POSCAR file:
```
BaAg4O7
1.0
-4.2479 0.9675 -4.9873
2.3206 -6.0769 1.2412
-9.0851 -1.9667 7.3566
O Ag Ba
14 8 2
Direct
0.1557 0.3114 0.5106
0.3114 0.1557 0.0106
0.5196 0.0392 0.2888
0.5196 0.4804 0.2888
0.6886 0.8443 0.5106
0.4804 0.9608 0.7888
0.1557 0.8443 0.5106
0.0392 0.5196 0.7888
0.8443 0.6886 0.0106
0.0000 0.0000 0.7359
0.8443 0.1557 0.0106
0.4804 0.5196 0.7888
0.0000 0.0000 0.2359
0.9608 0.4804 0.2888
0.8158 0.1842 0.1802
0.0000 0.0000 0.4186
0.3684 0.1842 0.1802
0.0000 0.0000 0.9186
0.8158 0.6316 0.1802
0.1842 0.8158 0.6802
0.1842 0.3684 0.6802
0.6316 0.8158 0.6802
0.3333 0.6667 0.9607
0.6667 0.3333 0.4607
```


No. 20
Compound: HfCo
Source: the Alexandria database
Functional: GGA-PBE
Structure: optimized geometry

## Properties
density of states at the Fermi level: 1.61 states/eV/f.u.
formation energy: -0.368 eV/atom

POSCAR file:
```
HfCo
1.0
-1.6342 0.9307 -4.7304
-0.4882 -4.8600 -0.7875
-9.4367 0.4068 3.3401
Co Hf
8 8
Direct
0.3355 0.4094 0.6858
0.1281 0.1024 0.5197
0.1645 0.5906 0.1858
0.6281 0.3976 0.4803
0.8719 0.6024 0.9803
0.6645 0.9094 0.8142
0.3719 0.8976 0.0197
0.8355 0.0906 0.3142
0.8260 0.3956 0.7325
0.6740 0.6044 0.2325
0.3260 0.1044 0.2675
0.3740 0.4043 0.9474
0.1260 0.5957 0.4474
0.6260 0.9043 0.5526
0.1740 0.8956 0.7675
0.8740 0.0957 0.0526
```